(1)
5
Lattice="-4.611 -2.281 -3.029 1.814 -5.514 1.391 -3.329 0.154 4.952" Properties=species:S:1:pos:R:3 comment="PBE Ba3TcI, relaxed" dft_energy_ev_per_atom=-3.5392 m_tot_mub_per_cell=0.00 e_form_raw_ev_per_atom=-0.002 pbc="T T T"
I -3.063 -3.820 1.657
Ba 0.907 -2.757 0.696
Ba -1.665 0.077 2.476
Ba -2.305 -1.140 -1.514
Tc 0.000 0.000 0.000

---

(2)
4
Lattice="0.000 4.163 4.163 4.163 0.000 4.163 4.163 4.163 0.000" Properties=species:S:1:pos:R:3 comment="PBE Ba2TcI, relaxed" dft_energy_ev_per_atom=-3.7018 m_tot_mub_per_cell=2.02 e_form_raw_ev_per_atom=0.239 pbc="T T T"
I 4.163 4.163 4.163
Ba 2.081 2.081 2.081
Ba 6.244 6.244 6.244
Tc 0.000 0.000 0.000

---

(3)
5
Lattice="6.707 0.000 0.000 0.000 6.707 0.000 0.000 0.000 6.707" Properties=species:S:1:pos:R:3 comment="PBE BaTcI3, relaxed" dft_energy_ev_per_atom=-3.2456 m_tot_mub_per_cell=6.00 e_form_raw_ev_per_atom=0.142 pbc="T T T"
I 0.000 3.353 0.000
I 0.000 0.000 3.353
I 3.353 0.000 0.000
Ba 0.000 0.000 0.000
Tc 3.353 3.353 3.353

---

(4)
5
Lattice="5.588 0.000 0.000 0.000 5.588 0.000 0.000 0.000 5.588" Properties=species:S:1:pos:R:3 comment="PBE BaTcI3, relaxed" dft_energy_ev_per_atom=-3.7743 m_tot_mub_per_cell=2.03 e_form_raw_ev_per_atom=-0.386 pbc="T T T"
I 0.000 2.794 0.000
I 0.000 0.000 2.794
I 2.794 0.000 0.000
Ba 2.794 2.794 2.794
Tc 0.000 0.000 0.000

---

(5)
8
Lattice="-2.035 -5.737 0.208 5.261 -1.952 -2.367 4.898 -4.719 6.942" Properties=species:S:1:pos:R:3 comment="PBE BaTcI2, relaxed" dft_energy_ev_per_atom=-3.8185 m_tot_mub_per_cell=6.00 e_form_raw_ev_per_atom=0.029 pbc="T T T"
I 0.783 -4.522 1.552
I 4.085 -3.605 0.300
I 5.331 -6.589 4.196
I 6.049 -10.101 3.518
Ba 0.000 0.000 0.000
Ba 2.238 -7.150 3.035
Tc 1.613 -3.844 -1.080
Tc 5.886 -5.258 1.748

---

(6)
8
Lattice="-2.926 -8.057 1.888 8.208 -3.081 -0.428 3.172 -4.752 5.039" Properties=species:S:1:pos:R:3 comment="PBE Ba2TcI, relaxed" dft_energy_ev_per_atom=-3.6583 m_tot_mub_per_cell=4.00 e_form_raw_ev_per_atom=0.282 pbc="T T T"
I 0.000 0.000 0.000
I 1.444 -9.189 3.829
Ba 0.110 -6.278 2.309
Ba 5.437 -4.452 1.306
Ba 4.697 -7.868 4.309
Ba 6.664 -13.184 5.075
Tc 2.641 -5.569 0.730
Tc 7.011 -6.701 2.670

---

(7)
4
Lattice="4.874 -1.759 -2.232 2.276 -4.880 1.685 0.067 -4.434 -3.488" Properties=species:S:1:pos:R:3 comment="PBE BaTcI2, relaxed" dft_energy_ev_per_atom=-3.8164 m_tot_mub_per_cell=3.03 e_form_raw_ev_per_atom=0.031 pbc="T T T"
I 1.804 -2.769 -1.009
I 5.413 -8.306 -3.027
Ba 3.609 -5.537 -2.018
Tc 0.000 0.000 0.000

---

(8)
5
Lattice="-1.838 3.189 -4.211 -0.655 -4.562 -3.169 -5.196 -0.543 1.857" Properties=species:S:1:pos:R:3 comment="PBE BaTcTeI2, relaxed" dft_energy_ev_per_atom=-4.1434 m_tot_mub_per_cell=2.84 e_form_raw_ev_per_atom=-0.437 pbc="T T T"
I -0.328 -2.281 -1.584
I -0.919 1.594 -2.106
Te -2.598 -0.272 0.928
Ba -3.845 -0.958 -2.762
Tc 0.000 0.000 0.000

---

(9)
5
Lattice="-4.043 4.476 2.619 -4.869 -2.134 -3.869 -1.855 -4.492 4.812" Properties=species:S:1:pos:R:3 comment="PBE BaTcTeI2, relaxed" dft_energy_ev_per_atom=-3.1855 m_tot_mub_per_cell=4.60 e_form_raw_ev_per_atom=0.521 pbc="T T T"
I -2.435 -1.067 -1.935
I -2.021 2.238 1.310
Te -0.928 -2.246 2.406
Ba 0.000 0.000 0.000
Tc -5.384 -1.075 1.781

---

(10)
12
Lattice="8.668 -0.905 0.361 -0.684 6.909 1.509 0.123 1.883 9.500" Properties=species:S:1:pos:R:3 comment="PBE BaTl2TcI8, relaxed" dft_energy_ev_per_atom=-3.1178 m_tot_mub_per_cell=2.96 e_form_raw_ev_per_atom=-0.666 pbc="T T T"
Ba 0.061 0.942 4.750
Tl 4.510 1.751 7.264
Tl 3.597 6.137 4.106
Tc 0.000 0.000 0.000
I -0.002 5.395 3.755
I 5.667 4.613 1.637
I 7.357 0.934 1.960
I 8.109 2.492 7.614
I 2.440 3.274 9.732
I 0.750 6.953 9.410
I 4.931 5.623 7.131
I 3.176 2.265 4.238

---

(11)
9
Lattice="-2.727 3.115 2.772 -8.138 -1.492 -1.851 -3.346 -6.430 8.413" Properties=species:S:1:pos:R:3 comment="PBE Ba4TeI4, relaxed" dft_energy_ev_per_atom=-3.4757 m_tot_mub_per_cell=0.00 e_form_raw_ev_per_atom=-1.583 pbc="T T T"
Ba -2.641 -1.075 3.089
Ba -11.571 -3.732 6.245
Ba -7.843 -3.489 9.639
Ba -6.369 -1.318 -0.305
Te -1.364 1.558 1.386
I -5.942 0.155 2.936
I -10.354 -0.972 4.341
I -8.269 -4.962 6.398
I -3.858 -3.835 4.993

---

(12)
7
Lattice="4.986 -0.005 -0.002 -2.487 8.240 -1.551 0.004 -0.366 9.038" Properties=species:S:1:pos:R:3 comment="PBE Ba3Te2I2, relaxed" dft_energy_ev_per_atom=-3.9081 m_tot_mub_per_cell=0.00 e_form_raw_ev_per_atom=-1.744 pbc="T T T"
Ba 0.000 0.000 0.000
Ba 2.497 4.362 1.333
Ba 0.007 3.506 6.151
Te 2.499 1.723 7.748
Te 0.005 6.145 -0.263
I 2.501 5.622 4.692
I 0.003 2.246 2.793